A relaxed Rb2ScAgBr6 crystal, computed with PBE.

Cell lengths 7.8106, 7.8106, 7.8106 Å; angles 60.00, 60.00, 60.00 degrees
Element x y z (fractional)
Sc  0.0000  0.0000  0.0000
Br  0.2412  0.7588  0.2412
Br  0.2412  0.2412  0.7588
Br  0.7588  0.2412  0.2412
Br  0.7588  0.2412  0.7588
Br  0.2412  0.7588  0.7588
Br  0.7588  0.7588  0.2412
Ag  0.5000  0.5000  0.5000
Rb  0.7500  0.7500  0.7500
Rb  0.2500  0.2500  0.2500

Output
Space group: Fm-3m, No. 225
Raw formation energy: -1.4587 eV per atom

=====

A relaxed TbTm4Zr crystal, computed with PBE.

Cell lengths 3.4316, 9.1322, 10.3349 Å; angles 145.06, 70.67, 100.76 degrees
Element x y z (fractional)
Tm  0.6557  0.3249  0.0061
Tm  0.1776  0.3269  0.4856
Tm  0.8224  0.6731  0.5144
Tm  0.3443  0.6750  0.9939
Zr  0.0000  0.0000  0.0000
Tb  0.5000  0.0000  0.5000

Output
Space group: P-1, No. 2
Energy relative to the elements: 51.2 meV per atom

=====

A relaxed Y12Cu5Bi crystal, computed with PBE.

Cell lengths 8.5226, 8.5226, 8.5226 Å; angles 105.32, 112.49, 110.69 degrees
Element x y z (fractional)
Y  0.8076  0.0303  0.2226
Y  0.8993  0.1795  0.7198
Y  0.1007  0.8205  0.2802
Y  0.8076  0.5850  0.7774
Y  0.4597  0.1795  0.2802
Y  0.1924  0.4150  0.2226
Y  0.6920  0.6826  0.3746
Y  0.6920  0.3174  0.0095
Y  0.1924  0.9697  0.7774
Y  0.3080  0.6826  0.9905
Y  0.5403  0.8205  0.7198
Y  0.3080  0.3174  0.6254
Cu  0.0000  0.0000  0.0000
Cu  0.6423  0.6423  0.0000
Cu  0.5000  0.1181  0.6181
Cu  0.3577  0.3577  0.0000
Cu  0.5000  0.8819  0.3819
Bi  0.0000  0.5000  0.5000

Output
Space group: Immm, No. 71
Energy relative to the elements: -236.1 meV per atom

=====

A relaxed NbZnFe2C crystal, computed with PBE.

Cell lengths 3.8707, 3.8707, 4.3198 Å; angles 90.00, 90.00, 90.00 degrees
Element x y z (fractional)
Nb  0.0000  0.0000  0.5000
Zn  0.5000  0.5000  0.5000
Fe  0.0000  0.5000  0.0000
Fe  0.5000  0.0000  0.0000
C  0.0000  0.0000  0.0000

Output
Space group: P4/mmm, No. 123
Energy relative to the elements: 38.2 meV per atom

=====

A relaxed CaTa2ReAg crystal, computed with PBE.

Cell lengths 4.8504, 5.5622, 4.8504 Å; angles 90.00, 90.00, 90.00 degrees
Element x y z (fractional)
Ca  0.0000  0.5000  0.0000
Re  0.0000  0.0000  0.0000
Ag  0.5000  0.5000  0.5000
Ta  0.0000  0.0000  0.5000
Ta  0.5000  0.0000  0.0000

Output
Space group: P4/mmm, No. 123
Energy relative to the elements: 1152.0 meV per atom

=====

A relaxed Ho6ErTm3Th2 crystal, computed with PBE.

Cell lengths 6.1095, 6.1095, 11.6845 Å; angles 95.01, 95.01, 119.95 degrees
Element x y z (fractional)
Ho  0.4196  0.0837  0.2493
Ho  0.2526  0.2526  0.7504
Ho  0.7474  0.7474  0.2496
Ho  0.9163  0.5804  0.7507
Ho  0.0837  0.4196  0.2493
Ho  0.5804  0.9163  0.7507
Tm  0.1665  0.8335  0.5000
Tm  0.8335  0.1665  0.5000
Tm  0.5000  0.5000  0.5000
Er  0.0000  0.0000  0.0000
Th  0.3334  0.6666  0.0000
Th  0.6666  0.3334  0.0000

Output
Space group: C2/m, No. 12
Energy relative to the elements: 26.5 meV per atom